Entry from Alexandria: crystalline PuNi2Ag2O6 at its relaxed geometry (PBE with a Hubbard U).

Geometry as extended XYZ:
```
11
Lattice="5.338 0.039 -0.335 -2.604 4.659 -0.335 -1.388 -2.385 6.242" Properties=species:S:1:pos:R:3 pbc="T T T"
Ag -1.159 3.818 -0.335
Ag 3.892 0.880 -0.335
Ni 1.981 0.395 2.786
Ni -0.636 1.918 2.786
O 1.158 -1.067 4.071
O -1.499 0.479 4.071
O 0.138 0.236 1.776
O 0.188 3.380 1.500
O 2.845 1.834 1.500
O 1.208 2.077 3.795
Pu -0.694 -1.193 3.121
```

Values from the calculation:
electronic total energy: -6.2600 eV/atom
total magnetic moment: 2.00 μB/f.u.